No. 1
Here is crystalline La6Si2Br3Cl at its relaxed geometry from the Alexandria database. Energies are from PBE-GGA.

a = 7.4538 Å, b = 12.9293 Å, c = 7.7523 Å
α = 90.00°, β = 108.78°, γ = 90.00°
With the nearest neighbours (Å) after each atom.
Space group C2/m (No. 12)
Symmetry-distinct sites (fractional):
La 0.2335 0.0000 0.2169 x4  2 Si 2.93, 1 Cl 2.99, 3 Br 3.21-3.28
La 0.2420 0.3302 0.2169 x8  2 Si 2.93-2.94, 1 Cl 2.99, 3 Br 3.18-3.26
Si 0.0000 0.1663 0.0000 x4  6 La 2.93-2.94
Br 0.0000 0.0000 0.5000 x2  6 La 3.21-3.26
Br 0.0000 0.3305 0.5000 x4  6 La 3.18-3.28
Cl 0.0000 0.5000 0.0000 x2  6 La 2.99

Calculated values
Total magnetic moment: 0.00 μB per formula unit
Electronic total energy: -5.2117 eV per atom
N(E_F): 6.2 states/eV/f.u.
E_form (uncorrected): -1272 meV/atom

=====

No. 2
Here is crystalline CdCu2Re at its relaxed geometry from the Alexandria database. Energies are from PBE-GGA.

a = 2.6920 Å, b = 2.6920 Å, c = 8.1378 Å
α = 90.00°, β = 90.00°, γ = 90.00°
With the nearest neighbours (Å) after each atom.
Space group P4/mmm (No. 123)
Symmetry-distinct sites (fractional):
Cd 0.0000 0.0000 0.0000 x1  4 Cd 2.69, 8 Cu 2.88
Cu 0.5000 0.5000 0.2656 x2  4 Cu 2.69, 4 Re 2.69, 4 Cd 2.88
Re 0.0000 0.0000 0.5000 x1  4 Re 2.69, 8 Cu 2.69

Calculated values
Total magnetic moment: 0.00 μB per formula unit
Electronic total energy: -5.1186 eV per atom
N(E_F): 1.8 states/eV/f.u.
Formation energy from the elements: 270.3 meV per atom